# Ce6Bi3As

A relaxed Ce6Bi3As crystal (PBE, Alexandria via LeMat-Bulk).

Cell lengths 6.250, 8.601, 12.976 Å; angles 90.00, 117.95, 90.00 degrees
Fractional coordinates of all 20 atoms:
Ce (0.001, 0.177, 0.069)
Ce (0.001, 0.323, 0.569)
Ce (0.363, 0.133, 0.443)
Ce (0.363, 0.367, 0.943)
Ce (0.369, 0.513, 0.237)
Ce (0.369, 0.987, 0.737)
Ce (0.631, 0.013, 0.263)
Ce (0.631, 0.487, 0.763)
Ce (0.637, 0.633, 0.057)
Ce (0.637, 0.867, 0.557)
Ce (0.999, 0.677, 0.431)
Ce (0.999, 0.823, 0.931)
Bi (0.131, 0.644, 0.740)
Bi (0.131, 0.856, 0.240)
Bi (0.500, 0.000, 0.000)
Bi (0.500, 0.500, 0.500)
Bi (0.869, 0.144, 0.760)
Bi (0.869, 0.356, 0.260)
As (0.000, 0.000, 0.500)
As (0.000, 0.500, 0.000)

- ΔE_f (eV per formula unit) = -6.1
- N(E_F) (states/eV/cell) = 71.1
- E (eV for the cell shown) = -115.898
- total moment (μB per formula unit) = 7.72
- space-group type = P2_1/c